Mg2Ta | PBE | optimized geometry

POSCAR file:
```
Mg2Ta
1.0
-1.447 1.447 14.888
1.447 -1.447 14.888
1.447 1.447 -14.888
Mg Ta
4 2
direct
0.299 0.549 0.750
0.451 0.701 0.750
0.549 0.299 0.250
0.701 0.451 0.250
0.125 0.875 0.250
0.875 0.125 0.750
```

Calculated values
As for the calculated volume: 125 Å³/cell. As for the space group: I4_1/amd (141). For the polymorph energy (0 for the lowest one), the calculation gives 0.0668 eV per atom. For the size of the total moment, the calculation gives 0.0000 μB per atom.